(1)
The following is a DFT calculation (PBE) of crystalline BaNa3Se at its relaxed geometry.

The structure in POSCAR format:
```
BaNa3Se
1.0
6.630 0.000 0.000
0.000 6.630 0.000
0.000 0.000 6.630
Ba Na Se
1 3 1
Cartesian
0.000 0.000 0.000
0.000 0.000 3.315
0.000 3.315 0.000
3.315 0.000 0.000
3.315 3.315 3.315
```

Properties
Symmetry: No. 221
Distance to the lowest polymorph of the same formula, kcal/mol of atoms: 25.20
D(E_F), states/eV/f.u.: 3.51

(2)
The following is a DFT calculation (PBE) of crystalline Ba2Na2Se at its relaxed geometry.

The structure in POSCAR format:
```
Ba2Na2Se
1.0
8.220 0.000 0.000
0.000 8.220 0.000
0.000 0.000 5.664
Ba Na Se
4 4 2
Cartesian
1.459 2.651 0.000
2.651 6.761 0.000
5.569 1.459 0.000
6.761 5.569 0.000
1.154 5.264 2.832
2.956 1.154 2.832
5.264 7.066 2.832
7.066 2.956 2.832
0.000 0.000 2.832
4.110 4.110 2.832
```

Properties
Symmetry: No. 127
Distance to the lowest polymorph of the same formula, kcal/mol of atoms: 3.85
D(E_F), states/eV/f.u.: 4.93

(3)
The following is a DFT calculation (PBE) of crystalline Ba2NaSe2 at its relaxed geometry.

The structure in POSCAR format:
```
Ba2NaSe2
1.0
-3.206 3.206 6.568
3.206 -3.206 6.568
3.206 3.206 -6.568
Ba Na Se
2 1 2
Cartesian
3.206 0.000 3.284
0.000 3.206 3.284
0.000 0.000 0.000
0.000 0.000 2.815
0.000 0.000 10.322
```

Properties
Symmetry: No. 139
Distance to the lowest polymorph of the same formula, kcal/mol of atoms: 3.52
D(E_F), states/eV/f.u.: 2.58

(4)
The following is a DFT calculation (PBE) of crystalline Ba2NaSe2 at its relaxed geometry.

The structure in POSCAR format:
```
Ba2NaSe2
1.0
8.760 0.000 0.000
0.000 8.760 0.000
0.000 0.000 4.406
Ba Na Se
4 2 4
Cartesian
1.333 3.047 0.000
3.047 7.427 0.000
5.713 1.333 0.000
7.427 5.713 0.000
0.000 0.000 2.203
4.380 4.380 2.203
1.369 5.749 2.203
3.011 1.369 2.203
5.749 7.391 2.203
7.391 3.011 2.203
```

Properties
Symmetry: No. 127
Distance to the lowest polymorph of the same formula, kcal/mol of atoms: 0.00
D(E_F), states/eV/f.u.: 0.94

(5)
The following is a DFT calculation (PBE) of crystalline Ba2NaSe at its relaxed geometry.

The structure in POSCAR format:
```
Ba2NaSe
1.0
2.311 1.334 10.225
-2.311 1.334 10.225
0.000 -2.668 10.225
Ba Na Se
2 1 1
Cartesian
0.000 0.000 7.030
0.000 0.000 23.645
0.000 0.000 0.000
0.000 0.000 15.337
```

Properties
Symmetry: No. 166
Raw total energy, eV for the cell shown: -12.34
D(E_F), states/eV/f.u.: 3.14

(6)
The following is a DFT calculation (PBE) of crystalline Ba2Na2Se at its relaxed geometry.

The structure in POSCAR format:
```
Ba2Na2Se
1.0
8.704 0.000 0.000
0.000 8.704 0.000
0.000 0.000 6.690
Ba Na Se
4 4 2
Cartesian
1.583 2.769 0.000
2.769 7.121 0.000
5.935 1.583 0.000
7.121 5.935 0.000
1.189 5.541 3.345
3.163 1.189 3.345
5.541 7.515 3.345
7.515 3.163 3.345
0.000 0.000 0.000
4.352 4.352 0.000
```

Properties
Symmetry: No. 127
Distance to the lowest polymorph of the same formula, kcal/mol of atoms: 0.00
D(E_F), states/eV/f.u.: 3.04

(7)
The following is a DFT calculation (PBE) of crystalline BaNa2Se at its relaxed geometry.

The structure in POSCAR format:
```
BaNa2Se
1.0
-5.029 5.029 3.180
5.029 -5.029 3.180
5.029 5.029 -3.180
Ba Na Se
2 4 2
Cartesian
0.000 0.000 0.000
0.000 5.029 1.590
2.515 -1.454 2.385
3.576 2.515 0.795
2.515 6.483 -0.795
1.454 2.515 3.975
5.029 0.000 1.590
0.000 0.000 3.180
```

Properties
Symmetry: No. 122
Raw total energy, eV for the cell shown: -21.49
D(E_F), states/eV/f.u.: 0.22

(8)
The following is a DFT calculation (PBE) of crystalline BaNa3Se at its relaxed geometry.

The structure in POSCAR format:
```
BaNa3Se
1.0
5.817 0.000 0.000
0.000 5.817 0.000
0.000 0.000 5.817
Ba Na Se
1 3 1
Cartesian
0.000 0.000 0.000
0.000 2.908 2.908
2.908 0.000 2.908
2.908 2.908 0.000
2.908 2.908 2.908
```

Properties
Symmetry: No. 221
Distance to the lowest polymorph of the same formula, kcal/mol of atoms: 0.00
D(E_F), states/eV/f.u.: 4.67

(9)
The following is a DFT calculation (PBE) of crystalline Ba2NaSe at its relaxed geometry.

The structure in POSCAR format:
```
Ba2NaSe
1.0
4.126 0.000 0.000
0.000 4.126 0.000
0.000 0.000 9.434
Ba Na Se
2 1 1
Cartesian
0.000 0.000 1.888
0.000 0.000 7.546
2.063 2.063 4.717
2.063 2.063 0.000
```

Properties
Symmetry: No. 123
Raw total energy, eV for the cell shown: -12.03
D(E_F), states/eV/f.u.: 3.31

(10)
The following is a DFT calculation (PBE) of crystalline Ba2NaSe2 at its relaxed geometry.

The structure in POSCAR format:
```
Ba2NaSe2
1.0
-3.047 3.047 6.473
3.047 -3.047 6.473
3.047 3.047 -6.473
Ba Na Se
2 1 2
Cartesian
0.000 0.000 2.353
0.000 0.000 10.592
0.000 0.000 6.473
3.047 0.000 3.236
0.000 3.047 3.236
```

Properties
Symmetry: No. 139
Distance to the lowest polymorph of the same formula, kcal/mol of atoms: 6.24
D(E_F), states/eV/f.u.: 2.37

(11)
The following is a DFT calculation (PBE) of crystalline BaNa2SiSe4 at its relaxed geometry.

The structure in POSCAR format:
```
BaNa2SiSe4
1.0
6.167 -6.072 0.000
6.167 6.072 0.000
-6.065 0.000 6.167
Ba Na Si Se
2 4 2 8
Cartesian
3.084 3.036 0.000
0.051 -3.036 3.084
0.000 0.000 0.000
-3.033 0.000 3.084
0.051 3.036 3.084
3.084 -3.036 0.000
6.167 0.000 0.000
3.135 0.000 3.084
0.673 0.095 2.800
-2.359 -0.095 5.883
0.168 2.396 6.051
3.069 2.396 3.200
3.200 -2.396 2.967
6.102 -2.396 0.116
8.629 0.095 0.284
5.596 -0.095 3.368
```

Properties
Symmetry: No. 15
Raw total energy, eV for the cell shown: -61.29
D(E_F), states/eV/f.u.: 1.34

(12)
The following is a DFT calculation (PBE) of crystalline Ba4NaSm3Se8 at its relaxed geometry.

The structure in POSCAR format:
```
Ba4NaSm3Se8
1.0
4.410 2.546 7.354
-4.410 2.546 7.354
0.000 -5.093 7.354
Ba Na Sm Se
4 1 3 8
Cartesian
0.000 0.000 0.000
-2.205 -1.273 7.354
-2.205 1.273 14.708
0.000 2.546 7.354
0.000 0.000 11.031
-4.410 0.000 11.031
-2.205 1.273 3.677
2.205 1.273 3.677
-2.253 -1.301 12.643
0.000 0.000 5.288
0.000 -2.601 9.419
-2.253 1.301 9.419
2.253 -1.301 12.643
0.000 2.601 12.643
0.000 0.000 16.774
2.253 1.301 9.419
```

Properties
Symmetry: No. 166
Raw total energy, eV for the cell shown: -80.96
D(E_F), states/eV/f.u.: 4.78

(13)
The following is a DFT calculation (PBE) of crystalline BaNaSnSe3 at its relaxed geometry.

The structure in POSCAR format:
```
BaNaSnSe3
1.0
2.423 -7.021 0.000
2.423 7.021 0.000
0.000 0.000 10.965
Ba Na Sn Se
2 2 2 6
Cartesian
2.423 3.551 8.224
2.423 -3.551 2.741
2.423 0.000 0.000
2.423 0.000 5.482
2.423 6.681 2.741
2.423 -6.681 8.224
2.423 4.960 0.793
2.423 4.960 4.690
2.423 0.913 2.741
2.423 -0.913 8.224
2.423 -4.960 6.275
2.423 -4.960 10.172
```

Properties
Symmetry: No. 63
Raw total energy, eV for the cell shown: -48.67
D(E_F), states/eV/f.u.: 1.19

(14)
The following is a DFT calculation (PBE) of crystalline Ba2NaSnSe4 at its relaxed geometry.

The structure in POSCAR format:
```
Ba2NaSnSe4
1.0
-4.462 4.534 6.213
4.462 -4.534 6.213
4.462 4.534 -6.213
Ba Na Sn Se
4 2 2 8
Cartesian
0.000 0.000 0.000
-2.231 2.267 3.106
0.000 4.534 0.000
2.231 2.267 3.106
4.462 0.000 0.000
0.000 0.000 6.213
2.231 2.267 -3.106
2.231 -2.267 3.106
4.462 -0.208 2.997
2.326 2.267 -0.208
6.599 2.267 -0.208
4.462 4.326 -2.997
0.000 0.208 9.210
-2.136 2.267 6.421
2.136 2.267 6.421
0.000 4.742 3.216
```

Properties
Symmetry: No. 74
Raw total energy, eV for the cell shown: -66.38
D(E_F), states/eV/f.u.: 4.48

(15)
The following is a DFT calculation (PBE) of crystalline BaNa2SnSe4 at its relaxed geometry.

The structure in POSCAR format:
```
BaNa2SnSe4
1.0
6.126 -6.251 0.000
6.126 6.251 0.000
-5.784 0.000 6.126
Ba Na Sn Se
2 4 2 8
Cartesian
3.063 3.125 0.000
0.171 -3.125 3.063
0.000 0.000 0.000
-2.892 0.000 3.063
0.171 3.125 3.063
3.063 -3.125 0.000
6.126 0.000 0.000
3.234 0.000 3.063
0.327 0.099 3.217
3.219 -0.099 0.154
3.125 2.694 3.176
0.452 2.694 6.013
6.017 -2.694 0.113
3.343 -2.694 2.950
3.250 0.099 5.972
6.142 -0.099 2.909
```

Properties
Symmetry: No. 15
Raw total energy, eV for the cell shown: -60.82
D(E_F), states/eV/f.u.: 1.65

(16)
The following is a DFT calculation (PBE) of crystalline BaNaSn2Se4 at its relaxed geometry.

The structure in POSCAR format:
```
BaNaSn2Se4
1.0
2.213 -7.128 0.000
2.213 7.128 0.000
0.000 0.000 14.776
Ba Na Sn Se
2 2 4 8
Cartesian
2.213 5.364 11.082
2.213 -5.364 3.694
2.213 5.056 3.694
2.213 -5.056 11.082
2.213 1.801 8.216
2.213 1.801 13.948
2.213 -1.801 0.828
2.213 -1.801 6.560
0.000 0.000 0.000
0.000 0.000 7.388
2.213 3.305 1.584
2.213 3.305 5.804
2.213 0.579 11.082
2.213 -0.579 3.694
2.213 -3.305 8.972
2.213 -3.305 13.192
```

Properties
Symmetry: No. 63
Raw total energy, eV for the cell shown: -64.23
D(E_F), states/eV/f.u.: 4.03

(17)
The following is a DFT calculation (PBE) of crystalline Ba2NaSrSe at its relaxed geometry.

The structure in POSCAR format:
```
Ba2NaSrSe
1.0
6.511 0.000 0.000
0.000 6.511 0.000
0.000 0.000 6.078
Ba Na Sr Se
2 1 1 1
Cartesian
0.000 3.256 0.000
3.256 0.000 0.000
0.000 0.000 3.039
3.256 3.256 3.039
3.256 3.256 0.000
```

Properties
Symmetry: No. 123
Raw total energy, eV for the cell shown: -13.78
D(E_F), states/eV/f.u.: 6.14

(18)
The following is a DFT calculation (PBE) of crystalline BaNa2TaSe4 at its relaxed geometry.

The structure in POSCAR format:
```
BaNa2TaSe4
1.0
-3.679 3.679 4.783
3.679 -3.679 4.783
3.679 3.679 -4.783
Ba Na Ta Se
1 2 1 4
Cartesian
0.000 0.000 0.000
3.679 0.000 2.391
0.000 0.000 4.783
0.000 3.679 2.391
5.158 1.802 -1.520
1.802 2.199 1.520
-1.479 1.877 3.263
1.877 1.479 6.303
```

Properties
Symmetry: No. 82
Raw total energy, eV for the cell shown: -38.64

(19)
The following is a DFT calculation (PBE) of crystalline Ba2NaTbSe4 at its relaxed geometry.

The structure in POSCAR format:
```
Ba2NaTbSe4
1.0
7.672 0.000 0.000
0.000 4.457 0.000
-2.490 0.000 7.325
Ba Na Tb Se
2 1 1 4
Cartesian
0.000 0.000 0.000
-1.245 2.228 3.663
2.591 0.000 3.663
3.836 2.228 0.000
1.525 2.228 1.772
0.256 0.000 5.644
4.926 0.000 1.681
3.658 2.228 5.553
```

Properties
Symmetry: No. 10
Raw total energy, eV for the cell shown: -38.12

(20)
The following is a DFT calculation (PBE) of crystalline BaNaTe2Se4 at its relaxed geometry.

The structure in POSCAR format:
```
BaNaTe2Se4
1.0
-3.881 3.888 4.067
3.881 -3.888 4.067
3.881 3.888 -4.067
Ba Na Te Se
1 1 2 4
Cartesian
0.000 0.000 0.000
0.000 0.000 4.067
3.881 0.000 1.676
0.000 3.888 2.392
2.039 2.137 -1.750
1.841 -1.751 5.817
1.841 1.751 2.318
2.039 5.640 1.750
```

Properties
Symmetry: No. 23
Raw total energy, eV for the cell shown: -29.04
D(E_F), states/eV/f.u.: 2.37

(21)
The following is a DFT calculation (PBE) of crystalline BaNa2TeSe at its relaxed geometry.

The structure in POSCAR format:
```
BaNa2TeSe
1.0
5.338 0.000 0.000
0.000 5.338 0.000
0.000 0.000 6.428
Ba Na Te Se
1 2 1 1
Cartesian
0.000 0.000 0.000
0.000 2.669 3.214
2.669 0.000 3.214
2.669 2.669 0.000
0.000 0.000 3.214
```

Properties
Symmetry: No. 123
Raw total energy, eV for the cell shown: -17.26
D(E_F), states/eV/f.u.: 0.00

(22)
The following is a DFT calculation (PBE) of crystalline BaNa2ThSe4 at its relaxed geometry.

The structure in POSCAR format:
```
BaNa2ThSe4
1.0
7.452 0.000 0.000
0.000 4.445 0.000
-2.773 0.000 7.380
Ba Na Th Se
1 2 1 4
Cartesian
0.000 0.000 0.000
2.339 0.000 3.690
3.726 2.223 0.000
-1.386 2.223 3.690
-0.245 0.000 5.338
1.015 2.223 2.086
3.664 2.223 5.293
4.924 0.000 2.041
```

Properties
Symmetry: No. 10
Raw total energy, eV for the cell shown: -38.77
D(E_F), states/eV/f.u.: 0.00

(23)
The following is a DFT calculation (PBE) of crystalline Ba2NaThSe4 at its relaxed geometry.

The structure in POSCAR format:
```
Ba2NaThSe4
1.0
7.700 0.000 0.000
0.000 4.469 0.000
-2.566 0.000 7.349
Ba Na Th Se
2 1 1 4
Cartesian
0.000 0.000 0.000
3.850 2.235 0.000
-1.283 2.235 3.675
2.567 0.000 3.675
0.122 0.000 5.295
1.337 2.235 2.055
3.796 2.235 5.294
5.011 0.000 2.055
```

Properties
Symmetry: No. 10
Raw total energy, eV for the cell shown: -40.35
D(E_F), states/eV/f.u.: 2.65

no.,magnetic moment (μB/f.u.)
1,1.00
2,0.00
3,0.00
4,0.85
5,0.54
6,0.00
7,0.00
8,0.78
9,0.00
10,0.00
11,0.00
12,0.00
13,0.00
14,0.00
15,0.00
16,0.00
17,0.00
18,1.02
19,0.00
20,0.00
21,0.00
22,0.00
23,0.00